(1)
This record from the Alexandria database describes an optimized crystal structure of CePmSeS2. The functional is PBE.

Electronic total energy in eV per atom: -6.077
Density in Mg/m³: 5.263
Crystal system: tetragonal
Magnetization in μB per formula unit: 1.00

Unit cell a=4.4364 b=4.4364 c=7.5469 alpha=107.09 beta=107.09 gamma=90.00
Last column: nearest neighbours and their distance in Å.
Positions (direct):
Pm  0.8647  0.8647  0.7294  4 S 2.72
S  0.2501  0.7501  0.5001  2 Pm 2.72, 2 Ce 2.73
S  0.7501  0.2501  0.5001  2 Pm 2.72, 2 Ce 2.73
Ce  0.1345  0.1345  0.2691  4 S 2.73
Se  0.5006  0.5006  0.0013  4 Ce 3.64, 4 Pm 3.65

(2)
This record from the Alexandria database describes an optimized crystal structure of CePmSeS. The functional is PBE.

Electronic total energy in eV per atom: -6.514
Density in Mg/m³: 6.664
Crystal system: trigonal
Magnetization in μB per formula unit: 0.91

Unit cell a=4.1006 b=4.1006 c=7.1800 alpha=73.41 beta=73.41 gamma=60.00
Last column: nearest neighbours and their distance in Å.
Positions (direct):
Se  0.7499  0.7499  0.7502  3 Ce 2.98, 3 Pm 2.99
Ce  0.5058  0.5058  0.4825  3 S 2.85, 3 Se 2.98
Pm  0.9938  0.9938  0.0185  3 S 2.84, 3 Se 2.99
S  0.2504  0.2504  0.2488  3 Pm 2.84, 3 Ce 2.85

(3)
This record from the Alexandria database describes an optimized crystal structure of CePmSe2S. The functional is PBE.

Electronic total energy in eV per atom: -6.079
Density in Mg/m³: 5.902
Crystal system: tetragonal
Magnetization in μB per formula unit: 1.15

Unit cell a=4.2283 b=4.2283 c=14.9534 alpha=90.00 beta=90.00 gamma=90.00
Last column: nearest neighbours and their distance in Å.
Positions (direct):
Se  0.5000  0.0000  0.9016  5 Ce 2.99-3.07
Se  0.0000  0.5000  0.0984  5 Ce 2.99-3.07
Se  0.5000  0.0000  0.2978  1 Ce 2.85
Se  0.0000  0.5000  0.7022  1 Ce 2.85
Ce  0.0000  0.5000  0.8928  6 Se 2.85-3.07
Ce  0.5000  0.0000  0.1072  6 Se 2.85-3.07
Pm  0.5000  0.0000  0.6226  4 S 2.80
Pm  0.0000  0.5000  0.3774  4 S 2.80
S  0.5000  0.5000  0.5000  4 Pm 2.80, 4 S 2.99
S  0.0000  0.0000  0.5000  4 Pm 2.80, 4 S 2.99

(4)
This record from the Alexandria database describes an optimized crystal structure of CePmSiS. The functional is PBE.

Electronic total energy in eV per atom: -6.387
Density in Mg/m³: 5.736
Crystal system: trigonal
Magnetization in μB per formula unit: 0.45

Unit cell a=4.1376 b=4.1376 c=7.1526 alpha=73.19 beta=73.19 gamma=60.00
Last column: nearest neighbours and their distance in Å.
Positions (direct):
Ce  0.1942  0.1942  0.4175  3 Si 2.90, 3 S 2.91
Si  0.4461  0.4461  0.6617  3 Ce 2.90, 3 Pm 2.96
Pm  0.6931  0.6931  0.9208  3 S 2.92, 3 Si 2.96
S  0.9431  0.9431  0.1708  3 Ce 2.91, 3 Pm 2.92

(5)
This record from the Alexandria database describes an optimized crystal structure of CePm3Sm2S6. The functional is PBE.

Electronic total energy in eV per atom: -6.571
Density in Mg/m³: 6.423
Crystal system: monoclinic
Magnetization in μB per formula unit: 0.64

Unit cell a=6.9699 b=6.9699 c=6.9735 alpha=99.62 beta=99.62 gamma=120.10
Last column: nearest neighbours and their distance in Å.
Positions (direct):
S  0.9173  0.5844  0.7523  2 Sm 2.83-2.84, 1 Ce 2.83, 3 Pm 2.84-2.85
S  0.2504  0.2504  0.7511  1 Ce 2.84, 2 Sm 2.84, 3 Pm 2.85-2.86
S  0.0827  0.4156  0.2477  2 Sm 2.83-2.84, 1 Ce 2.83, 3 Pm 2.84-2.85
S  0.5844  0.9173  0.7523  2 Sm 2.83-2.84, 1 Ce 2.83, 3 Pm 2.84-2.85
S  0.4156  0.0827  0.2477  2 Sm 2.83-2.84, 1 Ce 2.83, 3 Pm 2.84-2.85
S  0.7496  0.7496  0.2489  1 Ce 2.84, 2 Sm 2.84, 3 Pm 2.85-2.86
Pm  0.8315  0.1685  0.5000  6 S 2.84-2.86
Pm  0.5000  0.5000  0.5000  6 S 2.85
Pm  0.1685  0.8315  0.5000  6 S 2.84-2.86
Sm  0.6672  0.3328  0.0000  6 S 2.83-2.84
Sm  0.3328  0.6672  0.0000  6 S 2.83-2.84
Ce  0.0000  0.0000  0.0000  6 S 2.83-2.84

(6)
This record from the Alexandria database describes an optimized crystal structure of Ce2PmSm3S6. The functional is PBE.

Electronic total energy in eV per atom: -6.668
Density in Mg/m³: 6.447
Crystal system: monoclinic
Magnetization in μB per formula unit: 1.54

Unit cell a=6.9546 b=6.9546 c=6.9746 alpha=99.59 beta=99.59 gamma=120.06
Last column: nearest neighbours and their distance in Å.
Positions (direct):
Ce  0.6664  0.3336  0.0000  6 S 2.84-2.85
Ce  0.3336  0.6664  0.0000  6 S 2.84-2.85
S  0.5816  0.9160  0.7475  3 Sm 2.83-2.84, 2 Ce 2.85, 1 Pm 2.86
S  0.9160  0.5816  0.7475  3 Sm 2.83-2.84, 2 Ce 2.85, 1 Pm 2.86
S  0.4184  0.0840  0.2525  3 Sm 2.83-2.84, 2 Ce 2.85, 1 Pm 2.86
S  0.2506  0.2506  0.7490  3 Sm 2.82-2.83, 2 Ce 2.84, 1 Pm 2.85
S  0.7494  0.7494  0.2510  3 Sm 2.82-2.83, 2 Ce 2.84, 1 Pm 2.85
S  0.0840  0.4184  0.2525  3 Sm 2.83-2.84, 2 Ce 2.85, 1 Pm 2.86
Sm  0.1647  0.8353  0.5000  6 S 2.82-2.84
Sm  0.5000  0.5000  0.5000  6 S 2.83
Sm  0.8353  0.1647  0.5000  6 S 2.82-2.84
Pm  0.0000  0.0000  0.0000  6 S 2.85-2.86